[1]
A geometry-optimized LiLaMg2 structure. Source: Alexandria via LeMat-Bulk, functional GGA-PBE.

DFT formation energy	-0.004	eV/atom
calculated density	3.1	g/cm3
total moment	0.18	μB/f.u.
SG	P2/m, No. 10

a b c (Å): 3.260 4.906 6.752
angles (deg): 90.00 102.91 90.00
Sites, in units of the cell vectors:
Li1 0.000 0.000 0.000
La1 0.000 0.000 0.500
Mg1 0.388 0.500 0.214
Mg2 0.612 0.500 0.786

[2]
A geometry-optimized Li4LaMg2 structure. Source: Alexandria via LeMat-Bulk, functional GGA-PBE.

DFT formation energy	0.002	eV/atom
calculated density	2.2	g/cm3
total moment	0.00	μB/f.u.
SG	I4/mmm, No. 139

a b c (Å): 5.989 5.989 5.989
angles (deg): 104.28 104.28 120.45
Sites, in units of the cell vectors:
Li1 0.186 0.186 0.373
Li2 0.186 0.814 0.000
Li3 0.814 0.186 0.000
Li4 0.814 0.814 0.627
La1 0.500 0.500 0.000
Mg1 0.250 0.750 0.500
Mg2 0.750 0.250 0.500

[3]
A geometry-optimized LiLaMg2 structure. Source: Alexandria via LeMat-Bulk, functional GGA-PBE.

DFT formation energy	-0.004	eV/atom
calculated density	3.2	g/cm3
total moment	0.02	μB/f.u.
SG	P4mm, No. 99

a b c (Å): 3.515 3.515 8.283
angles (deg): 90.00 90.00 90.00
Sites, in units of the cell vectors:
Li1 0.000 0.000 0.000
La1 0.500 0.500 0.712
Mg1 0.000 0.000 0.417
Mg2 0.500 0.500 0.185

[4]
A geometry-optimized LiLaMg2 structure. Source: Alexandria via LeMat-Bulk, functional GGA-PBE.

DFT formation energy	0.036	eV/atom
calculated density	3.1	g/cm3
total moment	0.00	μB/f.u.
SG	Cm, No. 8

a b c (Å): 3.406 3.406 11.007
angles (deg): 100.60 100.60 57.02
Sites, in units of the cell vectors:
Li1 0.000 0.000 0.000
La1 0.808 0.808 0.499
Mg1 0.393 0.393 0.224
Mg2 0.600 0.600 0.774

[5]
A geometry-optimized LiLaMg2 structure. Source: Alexandria via LeMat-Bulk, functional GGA-PBE.

DFT formation energy	-0.052	eV/atom
calculated density	3.1	g/cm3
total moment	0.01	μB/f.u.
SG	P4/mmm, No. 123

a b c (Å): 3.537 3.537 8.220
angles (deg): 90.00 90.00 90.00
Sites, in units of the cell vectors:
Li1 0.000 0.000 0.000
La1 0.000 0.000 0.500
Mg1 0.500 0.500 0.201
Mg2 0.500 0.500 0.799

[6]
A geometry-optimized Li5La2Mg12 structure. Source: Alexandria via LeMat-Bulk, functional GGA-PBE.

DFT formation energy	-0.063	eV/atom
calculated density	2.2	g/cm3
total moment	0.00	μB/f.u.
SG	R-3m, No. 166

a b c (Å): 7.745 7.745 7.745
angles (deg): 82.59 82.59 82.59
Sites, in units of the cell vectors:
Li1 0.000 0.000 0.500
Li2 0.000 0.500 0.000
Li3 0.098 0.098 0.098
Li4 0.500 0.000 0.000
Li5 0.902 0.902 0.902
La1 0.347 0.347 0.347
La2 0.653 0.653 0.653
Mg1 0.000 0.300 0.700
Mg2 0.000 0.700 0.300
Mg3 0.145 0.655 0.655
Mg4 0.300 0.000 0.700
Mg5 0.300 0.700 0.000
Mg6 0.345 0.345 0.855
Mg7 0.345 0.855 0.345
Mg8 0.655 0.145 0.655
Mg9 0.655 0.655 0.145
Mg10 0.700 0.000 0.300
Mg11 0.700 0.300 0.000
Mg12 0.855 0.345 0.345

[7]
A geometry-optimized LiLaMg2 structure. Source: Alexandria via LeMat-Bulk, functional GGA-PBE.

DFT formation energy	0.012	eV/atom
calculated density	3.1	g/cm3
total moment	0.05	μB/f.u.
SG	Pm, No. 6

a b c (Å): 3.217 4.974 6.753
angles (deg): 90.00 103.68 90.00
Sites, in units of the cell vectors:
Li1 0.000 0.000 0.000
La1 0.364 0.500 0.739
Mg1 0.100 0.500 0.223
Mg2 0.712 0.000 0.439

[8]
A geometry-optimized LiLaMg2 structure. Source: Alexandria via LeMat-Bulk, functional GGA-PBE.

DFT formation energy	-0.078	eV/atom
calculated density	3.1	g/cm3
total moment	0.00	μB/f.u.
SG	F-43m, No. 216

a b c (Å): 5.259 5.259 5.259
angles (deg): 60.00 60.00 60.00
Sites, in units of the cell vectors:
Li1 0.000 0.000 0.000
La1 0.250 0.250 0.250
Mg1 0.500 0.500 0.500
Mg2 0.750 0.750 0.750

- What is the DFT formation energy in the eighth record?
  -0.078 eV/atom

- Number 6 is which compound?
  Li5La2Mg12

Copy entry 6 word for word.
A geometry-optimized Li5La2Mg12 structure. Source: Alexandria via LeMat-Bulk, functional GGA-PBE.

DFT formation energy	-0.063	eV/atom
calculated density	2.2	g/cm3
total moment	0.00	μB/f.u.
SG	R-3m, No. 166

a b c (Å): 7.745 7.745 7.745
angles (deg): 82.59 82.59 82.59
Sites, in units of the cell vectors:
Li1 0.000 0.000 0.500
Li2 0.000 0.500 0.000
Li3 0.098 0.098 0.098
Li4 0.500 0.000 0.000
Li5 0.902 0.902 0.902
La1 0.347 0.347 0.347
La2 0.653 0.653 0.653
Mg1 0.000 0.300 0.700
Mg2 0.000 0.700 0.300
Mg3 0.145 0.655 0.655
Mg4 0.300 0.000 0.700
Mg5 0.300 0.700 0.000
Mg6 0.345 0.345 0.855
Mg7 0.345 0.855 0.345
Mg8 0.655 0.145 0.655
Mg9 0.655 0.655 0.145
Mg10 0.700 0.000 0.300
Mg11 0.700 0.300 0.000
Mg12 0.855 0.345 0.345